Record 1
{"formula": "Cs2IO", "functional": "PBE-GGA", "state": "relaxed", "cell": [[0.0000, 4.3725, 4.3725], [4.3725, 0.0000, 4.3725], [4.3725, 4.3725, 0.0000]], "species": ["Cs", "Cs", "I", "O"], "frac_coords": [[0.2500, 0.2500, 0.2500], [0.7500, 0.7500, 0.7500], [0.0000, 0.0000, 0.0000], [0.5000, 0.5000, 0.5000]], "spacegroup": "Fm-3m", "e_above_lowest_polymorph_ev_per_atom": 0.175, "n_ef_per_ev_fu": 5.56, "crystal_system": "cubic", "e_form_raw_ev_per_fu": -3.3, "volume_a3_per_atom": 41.8}



Record 2
{"formula": "CsI2O", "functional": "PBE-GGA", "state": "relaxed", "cell": [[-3.8421, 3.8421, 5.4942], [3.8421, -3.8421, 5.4942], [3.8421, 3.8421, -5.4942]], "species": ["Cs", "Cs", "I", "I", "I", "I", "O", "O"], "frac_coords": [[0.3750, 0.6250, 0.7500], [0.6250, 0.3750, 0.2500], [0.0000, 0.0000, 0.0000], [0.0000, 0.0000, 0.5000], [0.0000, 0.5000, 0.0000], [0.5000, 0.0000, 0.5000], [0.1250, 0.8750, 0.2500], [0.8750, 0.1250, 0.7500]], "spacegroup": "I4_1/amd", "e_above_lowest_polymorph_ev_per_atom": 0.000, "n_ef_per_ev_fu": 0.07, "crystal_system": "tetragonal", "e_form_raw_ev_per_fu": -2.3, "volume_a3_per_atom": 40.6}



Record 3
{"formula": "CsI2O", "functional": "PBE-GGA", "state": "relaxed", "cell": [[0.0000, 4.3167, 4.3167], [4.3167, 0.0000, 4.3167], [4.3167, 4.3167, 0.0000]], "species": ["Cs", "I", "I", "O"], "frac_coords": [[0.0000, 0.0000, 0.0000], [0.2500, 0.2500, 0.2500], [0.7500, 0.7500, 0.7500], [0.5000, 0.5000, 0.5000]], "spacegroup": "Fm-3m", "e_above_lowest_polymorph_ev_per_atom": 0.688, "n_ef_per_ev_fu": 4.56, "crystal_system": "cubic", "e_form_raw_ev_per_fu": 0.4, "volume_a3_per_atom": 40.2}



Record 4
{"formula": "Cs2I7O", "functional": "PBE-GGA", "state": "relaxed", "cell": [[-4.0829, 4.0829, 6.3051], [4.0829, -4.0829, 6.3051], [4.0829, 4.0829, -6.3051]], "species": ["Cs", "Cs", "I", "I", "I", "I", "I", "I", "I", "O"], "frac_coords": [[0.2500, 0.7500, 0.5000], [0.7500, 0.2500, 0.5000], [0.0000, 0.0000, 0.0000], [0.2341, 0.2341, 0.0000], [0.2850, 0.2850, 0.5700], [0.2850, 0.7150, 0.0000], [0.7150, 0.2850, 0.0000], [0.7150, 0.7150, 0.4300], [0.7659, 0.7659, 0.0000], [0.5000, 0.5000, 0.0000]], "spacegroup": "I4/mmm", "n_ef_per_ev_fu": 3.80, "crystal_system": "tetragonal", "e_form_raw_ev_per_fu": -4.7, "volume_a3_per_atom": 42.0}



Record 5
{"formula": "Cs7I3O2", "functional": "PBE-GGA", "state": "relaxed", "cell": [[3.0369, -15.0425, 0.0000], [3.0369, 15.0425, 0.0000], [0.0000, 0.0000, 5.9165]], "species": ["Cs", "Cs", "Cs", "Cs", "Cs", "Cs", "Cs", "I", "I", "I", "O", "O"], "frac_coords": [[0.0000, 0.0000, 0.0000], [0.0980, 0.9020, 0.5000], [0.1920, 0.8080, 0.0000], [0.4027, 0.5973, 0.0000], [0.5973, 0.4027, 0.0000], [0.8080, 0.1920, 0.0000], [0.9020, 0.0980, 0.5000], [0.3147, 0.6853, 0.5000], [0.5000, 0.5000, 0.5000], [0.6853, 0.3147, 0.5000], [0.1013, 0.8987, 0.0000], [0.8987, 0.1013, 0.0000]], "spacegroup": "Cmmm", "crystal_system": "orthorhombic", "e_form_raw_ev_per_fu": -15.1, "volume_a3_per_atom": 45.0}



Record 6
{"formula": "CsI2O6", "functional": "PBE-GGA", "state": "relaxed", "cell": [[7.0617, -3.6098, 0.0000], [7.0617, 3.6098, 0.0000], [-4.7570, 0.0000, 6.8008]], "species": ["Cs", "Cs", "I", "I", "I", "I", "O", "O", "O", "O", "O", "O", "O", "O", "O", "O", "O", "O"], "frac_coords": [[0.0327, 0.9673, 0.7500], [0.9673, 0.0327, 0.2500], [0.3390, 0.3568, 0.8742], [0.3568, 0.3390, 0.3742], [0.6432, 0.6610, 0.6258], [0.6610, 0.6432, 0.1258], [0.0681, 0.3634, 0.7516], [0.2721, 0.6485, 0.9920], [0.2804, 0.4250, 0.5902], [0.3515, 0.7279, 0.5080], [0.3634, 0.0681, 0.2516], [0.4250, 0.2804, 0.0902], [0.5750, 0.7196, 0.9098], [0.6366, 0.9319, 0.7484], [0.6485, 0.2721, 0.4920], [0.7196, 0.5750, 0.4098], [0.7279, 0.3515, 0.0080], [0.9319, 0.6366, 0.2484]], "spacegroup": "C2/c", "e_above_lowest_polymorph_ev_per_atom": 0.000, "n_ef_per_ev_fu": 3.85, "crystal_system": "monoclinic", "e_form_raw_ev_per_fu": -5.0, "volume_a3_per_atom": 19.3}



Q: Which formula does entry 2 have?
A: CsI2O